Record 1
## GaSnP2Os (GGA-PBEsol)

Data for a geometry-optimized GaSnP2Os structure.

energy of formation	487.4	meV per atom
ρ	6582	kg/m³
DOS at the Fermi energy	0.60	states/eV per atom
V	22.231	Å³ per atom

Unit cell a=4.4417 b=4.4417 c=5.6341 alpha=90.00 beta=90.00 gamma=90.00
Last column: nearest neighbours and their distance in Å.
Element x y z (fractional)
Ga  0.0000  0.0000  0.0000  4 Sn 3.14
Sn  0.5000  0.5000  0.0000  2 Os 2.82, 4 Ga 3.14
P  0.0000  0.5000  0.5000  2 Os 2.22
P  0.5000  0.0000  0.5000  2 Os 2.22
Os  0.5000  0.5000  0.5000  4 P 2.22

Record 2
## GaOsPbSe2 (GGA-PBEsol)

Data for a geometry-optimized GaOsPbSe2 structure.

ρ	8290	kg/m³
DOS at the Fermi energy	0.86	states/eV per atom
V	25.043	Å³ per atom
energy relative to the elements, uncorrected	0.551	eV/atom

Unit cell a=4.7577 b=4.7577 c=5.5317 alpha=90.00 beta=90.00 gamma=90.00
Last column: nearest neighbours and their distance in Å.
Element x y z (fractional)
Ga  0.0000  0.0000  0.0000  4 Pb 3.36, 8 Se 3.65
Os  0.5000  0.5000  0.5000  4 Se 2.38
Pb  0.5000  0.5000  0.0000  2 Os 2.77
Se  0.0000  0.5000  0.5000  2 Os 2.38
Se  0.5000  0.0000  0.5000  2 Os 2.38

Record 3
## ZnGaOsPt2 (GGA-PBEsol)

Data for a geometry-optimized ZnGaOsPt2 structure.

energy of formation	1123.5	meV per atom
ρ	12943	kg/m³
DOS at the Fermi energy	1.17	states/eV per atom
V	18.359	Å³ per atom

Unit cell a=4.5007 b=4.5007 c=4.5318 alpha=90.00 beta=90.00 gamma=90.00
Last column: nearest neighbours and their distance in Å.
Element x y z (fractional)
Zn  0.0000  0.0000  0.0000  4 Os 3.18, 8 Pt 3.19
Ga  0.5000  0.5000  0.5000  4 Pt 2.25, 2 Os 2.27
Os  0.5000  0.5000  0.0000  2 Ga 2.27
Pt  0.0000  0.5000  0.5000  2 Ga 2.25
Pt  0.5000  0.0000  0.5000  2 Ga 2.25

Number 1: E -28.96 eV for the cell shown. Number 2: E -24.50 eV for the cell shown. Number 3: E -25.45 eV for the cell shown.